# PbBrN2, optimized geometry, DFT PBE-GGA
# DOS at the Fermi energy in states/eV per atom: 0.21
# Mass density in kg/m3: 3975
# ΔE to the lowest computed polymorph in meV per atom: 0
# Energy relative to the elements, uncorrected in eV/atom: -0.094
data_PbBrN2
_chemical_formula_sum 'Pb1 Br1 N2'
_cell_length_a 3.5854
_cell_length_b 5.1376
_cell_length_c 7.1462
_cell_angle_alpha 90.38
_cell_angle_beta 90.15
_cell_angle_gamma 90.53
_space_group_name_H-M_alt 'P 1'
_space_group_IT_number 1
_space_group_name_Hall 'P 1'
loop_
_atom_site_label
_atom_site_type_symbol
_atom_site_fract_x
_atom_site_fract_y
_atom_site_fract_z
_atom_site_occupancy
Pb1 Pb 0.0000 0.0000 0.0000 1
Br1 Br 0.4936 0.5001 0.0000 1
N1 N 0.9858 0.3884 0.5005 1
N2 N 0.9869 0.6056 0.5007 1